Entry 1:
Below is a geometry-optimized Cs2CuAg2F6 structure, with properties calculated at the GGA-PBE level.

Raw formation energy = -1.7667 eV per atom

a = 14.0042 Å, b = 5.9907 Å, c = 6.0768 Å
α = 90.00°, β = 112.09°, γ = 90.00°
Space group C2/m (No. 12)
One atom of each set of equivalent atoms:
Cs  0.2137  0.0000  0.2138 [4 per cell]
Cu  0.0000  0.0000  0.5000 [2 per cell]
Ag  0.0024  0.5000  0.7678 [4 per cell]
F  0.0973  0.2238  0.5076 [8 per cell]
F  0.1508  0.5000  0.0748 [4 per cell]



Entry 2:
Below is a geometry-optimized Pm6HoPb6 structure, with properties calculated at the GGA-PBE level.

E_form = -267 meV/atom

a = 7.4285 Å, b = 7.4285 Å, c = 9.3672 Å
α = 90.00°, β = 90.00°, γ = 120.00°
Space group P6/mmm (No. 191)
One atom of each set of equivalent atoms:
Pm  0.0000  0.5000  0.2482 [6 per cell]
Ho  0.0000  0.0000  0.5000 [1 per cell]
Pb  0.0000  0.0000  0.1674 [2 per cell]
Pb  0.3333  0.6667  0.0000 [2 per cell]
Pb  0.3333  0.6667  0.5000 [2 per cell]



Entry 3:
Below is a geometry-optimized LiMnMo2 structure, with properties calculated at the GGA-PBE level.

E above lowest polymorph = 0.134 eV per atom
E_form = 412 meV/atom

a = 2.5627 Å, b = 4.1837 Å, c = 5.4609 Å
α = 90.00°, β = 90.00°, γ = 90.00°
Space group Pmm2 (No. 25)
One atom of each set of equivalent atoms:
Li  0.0000  0.0000  0.0000 [1 per cell]
Mn  0.5000  0.5000  0.2308 [1 per cell]
Mo  0.0000  0.0000  0.4883 [1 per cell]
Mo  0.5000  0.5000  0.7453 [1 per cell]



Entry 4:
Below is a geometry-optimized NpGa2Br6 structure, with properties calculated at the GGA-PBE level.

Raw formation energy = -0.9405 eV per atom

a = 7.1327 Å, b = 7.1327 Å, c = 13.2373 Å
α = 90.00°, β = 90.00°, γ = 90.00°
Space group P4_2/mnm (No. 136)
One atom of each set of equivalent atoms:
Np  0.0000  0.0000  0.0000 [2 per cell]
Ga  0.0000  0.0000  0.3309 [4 per cell]
Br  0.1874  0.1874  0.1561 [8 per cell]
Br  0.2255  0.2255  0.5000 [4 per cell]